Record 1
First-principles (GGA-PBE) data for crystalline NiWAu2 at its relaxed geometry, as listed in Alexandria.

Values from the calculation:
Crystal system: trigonal
D(E_F), states/eV per cell: 2.21
VASP energy, eV per atom: -6.003
Formation energy, meV per atom: 319

a b c (Å): 2.8531 2.8531 26.9556
angles (deg): 90.00 90.00 120.00
With the nearest neighbours (Å) after each atom.
Fractional coordinates of all 12 atoms:
Ni  0.0000  0.0000  0.0000  6 Au 2.70, 6 Ni 2.85
Ni  0.3333  0.6667  0.6667  6 Au 2.70, 6 Ni 2.85
Ni  0.6667  0.3333  0.3333  6 Au 2.70, 6 Ni 2.85
W  0.0000  0.0000  0.5000  6 W 2.85, 6 Au 2.87
W  0.3333  0.6667  0.1667  6 W 2.85, 6 Au 2.87
W  0.6667  0.3333  0.8333  6 W 2.85, 6 Au 2.87
Au  0.0000  0.0000  0.2540  3 Ni 2.70, 6 Au 2.85, 3 W 2.87
Au  0.0000  0.0000  0.7460  3 Ni 2.70, 6 Au 2.85, 3 W 2.87
Au  0.3333  0.6667  0.4127  3 Ni 2.70, 6 Au 2.85, 3 W 2.87
Au  0.3333  0.6667  0.9207  3 Ni 2.70, 6 Au 2.85, 3 W 2.87
Au  0.6667  0.3333  0.0793  3 Ni 2.70, 6 Au 2.85, 3 W 2.87
Au  0.6667  0.3333  0.5873  3 Ni 2.70, 6 Au 2.85, 3 W 2.87



Record 2
First-principles (GGA-PBE) data for crystalline NiWAu2 at its relaxed geometry, as listed in Alexandria.

Values from the calculation:
Crystal system: tetragonal
D(E_F), states/eV per cell: 5.03
VASP energy, eV per atom: -5.917
Formation energy, meV per atom: 405

a b c (Å): 4.1001 4.1001 7.4291
angles (deg): 90.00 90.00 90.00
With the nearest neighbours (Å) after each atom.
Fractional coordinates of all 8 atoms:
Ni  0.0000  0.0000  0.0000  4 W 2.77, 8 Au 2.77-2.90
Ni  0.5000  0.5000  0.5000  4 W 2.77, 8 Au 2.77-2.90
W  0.0000  0.5000  0.7500  4 Ni 2.77, 8 Au 2.77-2.90
W  0.5000  0.0000  0.2500  4 Ni 2.77, 8 Au 2.77-2.90
Au  0.0000  0.0000  0.5000  4 W 2.77, 4 Au 2.77, 4 Ni 2.90
Au  0.0000  0.5000  0.2500  4 Ni 2.77, 4 Au 2.77, 4 W 2.90
Au  0.5000  0.0000  0.7500  4 Ni 2.77, 4 Au 2.77, 4 W 2.90
Au  0.5000  0.5000  0.0000  4 W 2.77, 4 Au 2.77, 4 Ni 2.90



Record 3
First-principles (GGA-PBE) data for crystalline Ni2WAu at its relaxed geometry, as listed in Alexandria.

Values from the calculation:
Crystal system: trigonal
D(E_F), states/eV per cell: 11.86
VASP energy, eV per atom: -6.792
Formation energy, meV per atom: 157

a b c (Å): 2.7469 2.7469 26.2001
angles (deg): 90.00 90.00 120.00
With the nearest neighbours (Å) after each atom.
Fractional coordinates of all 12 atoms:
Ni  0.0000  0.0000  0.2463  3 W 2.62, 6 Ni 2.75, 3 Au 2.78
Ni  0.0000  0.0000  0.7537  3 W 2.62, 6 Ni 2.75, 3 Au 2.78
Ni  0.3333  0.6667  0.4204  3 W 2.62, 6 Ni 2.75, 3 Au 2.78
Ni  0.3333  0.6667  0.9130  3 W 2.62, 6 Ni 2.75, 3 Au 2.78
Ni  0.6667  0.3333  0.0870  3 W 2.62, 6 Ni 2.75, 3 Au 2.78
Ni  0.6667  0.3333  0.5796  3 W 2.62, 6 Ni 2.75, 3 Au 2.78
W  0.0000  0.0000  0.5000  6 Ni 2.62, 6 W 2.75
W  0.3333  0.6667  0.1667  6 Ni 2.62, 6 W 2.75
W  0.6667  0.3333  0.8333  6 Ni 2.62, 6 W 2.75
Au  0.0000  0.0000  0.0000  6 Au 2.75, 6 Ni 2.78
Au  0.3333  0.6667  0.6667  6 Au 2.75, 6 Ni 2.78
Au  0.6667  0.3333  0.3333  6 Au 2.75, 6 Ni 2.78



The highest D(E_F) belongs to which entry?
Ni2WAu



The lowest D(E_F) belongs to which entry?
number 1